a.
KZnOs PBE relaxed; total moment = 1.26 μB/cell; Fermi-level density of states = 4.91 states/eV per cell
1.0
4.662 0.000 0.000
2.331 4.037 0.000
2.331 1.346 3.807
K Os Zn
1 1 1
Direct
0.000 0.000 0.000
0.500 0.500 0.500
0.750 0.750 0.750

=====

b.
KZnOs PBE relaxed; total moment = 0.00 μB/cell; Fermi-level density of states = 2.81 states/eV per cell
1.0
6.495 0.000 0.000
4.764 4.415 0.000
-5.629 -2.208 2.371
K Os Zn
1 1 1
Direct
0.997 0.997 0.000
0.282 0.282 0.000
0.721 0.721 0.000

=====

Most stable to least stable: b, a

=====

a.
KZrOs2 PBE relaxed; total moment = 0.00 μB/cell; Fermi-level density of states = 5.60 states/eV per cell
1.0
0.000 3.358 3.358
3.358 0.000 3.358
3.358 3.358 0.000
K Os Zr
1 2 1
Direct
0.000 0.000 0.000
0.250 0.250 0.250
0.750 0.750 0.750
0.500 0.500 0.500

=====

b.
KZrOs2 PBE relaxed; total moment = 0.00 μB/cell; Fermi-level density of states = 6.62 states/eV per cell
1.0
4.917 0.000 0.000
0.000 4.917 0.000
2.458 2.458 9.201
K Os Zr
2 4 2
Direct
0.500 0.500 0.000
0.250 0.750 0.500
0.914 0.125 0.250
0.836 0.625 0.250
0.375 0.086 0.750
0.875 0.164 0.750
0.000 0.000 0.000
0.750 0.250 0.500

=====

Most stable to least stable: a, b

=====

a.
KZrOs2 PBE relaxed; total moment = 0.00 μB/cell; Fermi-level density of states = 3.96 states/eV per cell
1.0
2.903 0.010 0.000
-1.143 2.669 0.000
0.000 0.000 9.969
K Os Zr
1 2 1
Direct
0.500 0.500 0.750
0.000 0.000 0.035
0.000 0.000 0.465
0.500 0.500 0.250

=====

b.
KZrOs2 PBE relaxed; total moment = 0.00 μB/cell; Fermi-level density of states = 4.00 states/eV per cell
1.0
6.772 0.012 0.045
-2.906 4.822 -0.022
0.959 0.603 2.337
K Os Zr
1 2 1
Direct
0.500 0.500 0.000
0.000 0.000 0.000
0.500 0.000 0.500
0.000 0.500 0.500

=====

c.
KZrOs2 PBE relaxed; total moment = 0.96 μB/cell; Fermi-level density of states = 5.57 states/eV per cell
1.0
4.204 0.000 0.000
0.000 4.241 0.000
0.000 0.000 4.241
K Os Zr
1 2 1
Direct
0.500 0.000 0.500
0.000 0.000 0.000
0.000 0.500 0.500
0.500 0.500 0.000

=====

d.
KZrOs2 PBE relaxed; total moment = 0.38 μB/cell; Fermi-level density of states = 3.19 states/eV per cell
1.0
2.848 0.000 0.000
0.000 3.880 0.000
0.000 0.000 8.816
K Os Zr
1 2 1
Direct
0.500 0.500 0.794
0.000 0.000 0.100
0.500 0.500 0.204
0.000 0.000 0.401

=====

Most stable to least stable: d, a, b, c

=====

a.
KZrOs2 PBE relaxed; total moment = 0.00 μB/cell; Fermi-level density of states = 4.89 states/eV per cell
1.0
-0.051 -3.023 0.307
2.719 0.092 1.353
-4.008 0.881 7.995
K Os Zr
1 2 1
Direct
0.500 0.500 0.750
0.000 0.000 0.050
0.000 0.000 0.450
0.500 0.500 0.250

=====

b.
KZrOs2 PBE relaxed; total moment = 0.40 μB/cell; Fermi-level density of states = 3.89 states/eV per cell
1.0
3.033 0.000 0.000
0.000 4.826 0.000
0.000 0.000 4.890
K Os Zr
1 2 1
Direct
0.000 0.500 0.500
0.000 0.000 0.000
0.500 0.500 0.000
0.500 0.000 0.500

=====

Most stable to least stable: a, b

=====

a.
KZrOs3 PBE relaxed; total moment = 0.00 μB/cell; Fermi-level density of states = 2.90 states/eV per cell
1.0
4.555 0.000 0.000
0.000 4.555 0.000
0.000 0.000 4.555
K Os Zr
1 3 1
Direct
0.000 0.000 0.000
0.000 0.500 0.000
0.000 0.000 0.500
0.500 0.000 0.000
0.500 0.500 0.500

=====

b.
KZrOs3 PBE relaxed; total moment = 4.03 μB/cell; Fermi-level density of states = 6.20 states/eV per cell
1.0
5.009 0.000 0.000
0.000 5.009 0.000
0.000 0.000 5.009
K Os Zr
1 3 1
Direct
0.500 0.500 0.500
0.000 0.500 0.000
0.000 0.000 0.500
0.500 0.000 0.000
0.000 0.000 0.000

=====

Most stable to least stable: b, a

=====

a.
KZr3Os PBE relaxed; total moment = 0.00 μB/cell; Fermi-level density of states = 6.47 states/eV per cell
1.0
5.213 0.000 0.000
0.000 5.213 0.000
0.000 0.000 5.213
K Os Zr
1 1 3
Direct
0.500 0.500 0.500
0.000 0.000 0.000
0.000 0.500 0.000
0.000 0.000 0.500
0.500 0.000 0.000

=====

b.
KZr3Os PBE relaxed; total moment = 0.00 μB/cell; Fermi-level density of states = 8.78 states/eV per cell
1.0
-3.529 0.186 -3.139
-1.716 -4.068 1.688
-2.635 2.400 3.104
K Os Zr
1 1 3
Direct
0.000 0.000 0.000
0.500 0.500 0.500
0.000 0.500 0.000
0.000 0.000 0.500
0.500 0.000 0.000

=====

Most stable to least stable: a, b